Entry 1:
HoPuS2 | GGA-PBE | relaxed

Unit cell a=3.8660 b=3.8660 c=13.3166 alpha=90.00 beta=90.00 gamma=120.00
Space group P6_3/mmc (No. 194)
Symmetry-distinct sites (fractional):
Ho 0.0000 0.0000 0.0000
Pu 0.3333 0.6667 0.2500
S 0.3333 0.6667 0.6191

Properties
Formation energy without anion corrections ... -1.85 eV per atom

Entry 2:
NaTlCrMo2 | GGA-PBE | relaxed

Unit cell a=4.494 b=4.494 c=5.212 alpha=90.00 beta=90.00 gamma=90.00
Space group P4/mmm (No. 123)
Symmetry-distinct sites (fractional):
Na 0.000 0.000 0.000
Tl 0.500 0.500 0.000
Cr 0.000 0.000 0.500
Mo 0.000 0.500 0.500

Properties
E_tot ... -5.6797 eV per atom

Entry 3:
TaTiCuO6 | GGA-PBE | relaxed

Unit cell a=4.695 b=4.695 c=9.043 alpha=90.00 beta=90.00 gamma=90.00
Space group P4_2nm (No. 102)
Symmetry-distinct sites (fractional):
Ta 0.000 0.000 0.000
Ti 0.000 0.000 0.666
Cu 0.000 0.000 0.334
O 0.192 0.192 0.832
O 0.196 0.196 0.504
O 0.200 0.200 0.163

Properties
Formation energy without anion corrections ... -2.14 eV per atom

Entry 4:
RbDy2AuSe4 | GGA-PBE | relaxed

Unit cell a=4.199 b=14.414 c=14.761 alpha=90.00 beta=90.00 gamma=90.00
Space group Cmcm (No. 63)
Symmetry-distinct sites (fractional):
Rb 0.000 0.124 0.250
Dy 0.000 0.370 0.069
Au 0.000 0.159 0.750
Se 0.000 0.000 0.000
Se 0.000 0.260 0.601
Se 0.000 0.448 0.250

Properties
Formation energy without anion corrections ... -1.43 eV per atom

Entry 5:
UPaGa | GGA-PBE | relaxed

Unit cell a=11.289 b=11.289 c=4.521 alpha=90.00 beta=90.00 gamma=90.00
Space group I4/mmm (No. 139)
Symmetry-distinct sites (fractional):
U 0.000 0.376 0.000
Pa 0.000 0.232 0.500
Ga 0.197 0.197 0.000

Properties
E_tot ... -7.6998 eV per atom

Entry 6:
Tl2AsBr | GGA-PBE | relaxed

Unit cell a=3.572 b=5.713 c=5.936 alpha=90.00 beta=90.18 gamma=90.00
Space group Pm (No. 6)
Symmetry-distinct sites (fractional):
Tl 0.000 0.000 0.000
Tl 0.013 0.500 0.500
As 0.001 0.500 0.000
Br 0.507 0.000 0.500

Properties
Formation energy without anion corrections ... -0.18 eV per atom